Material: PrNdCuSi3
Method: DFT, PBE
State: relaxed Values from VASP.

Output
Raw total energy: -5.664 eV/atom

Structure (Quantum ESPRESSO input):
```
&SYSTEM
  ibrav = 0, nat = 12, ntyp = 4
/
ATOMIC_SPECIES
Pr 140.91 Pr.upf
Nd 144.24 Nd.upf
Cu 63.55 Cu.upf
Si 28.09 Si.upf
ATOMIC_POSITIONS angstrom
Pr 2.032 2.141 3.521
Pr 6.097 6.422 10.564
Nd 4.065 2.083 7.043
Nd 4.065 6.479 7.043
Cu 4.065 4.281 4.704
Cu 4.065 4.281 9.381
Si 4.065 4.281 2.374
Si 6.058 4.281 5.859
Si 6.058 4.281 8.226
Si 2.072 4.281 5.859
Si 2.072 4.281 8.226
Si 4.065 4.281 11.711
CELL_PARAMETERS angstrom
0.000 4.281 7.043
4.065 0.000 7.043
4.065 4.281 0.000
```